# La8Y3Ho3 (PBE-GGA, optimized geometry)
# Density of states at the Fermi level = 19.6 states/eV/f.u.
# ΔE_f = 92.2 meV per atom
# Size of the total moment = 0.00 μB/f.u.
# Electronic total energy = -142.51 eV/cell
data_La8Y3Ho3
_space_group_name_H-M_alt 'I m m m'
_space_group_IT_number 71
_space_group_name_Hall '-I 2 2'
_cell_length_a 5.702
_cell_length_b 11.108
_cell_length_c 15.264
_cell_angle_alpha 90.00
_cell_angle_beta 90.00
_cell_angle_gamma 90.00
loop_
_atom_site_label
_atom_site_type_symbol
_atom_site_fract_x
_atom_site_fract_y
_atom_site_fract_z
La1 La 0.000 0.157 0.229
La2 La 0.000 0.338 0.393
Y1 Y 0.000 0.000 0.500
Y2 Y 0.000 0.500 0.175
Ho1 Ho 0.000 0.000 0.000
Ho2 Ho 0.000 0.299 0.000